Here is a relaxed LiTiS2 crystal from the Alexandria database. Energies are from PBEsol.

- Space group: Fd-3m (227)
- Crystal system: cubic
- M_tot: 0.01 Bohr magnetons per cell
- Raw formation energy: -5.83 eV/f.u.
- D(E_F): 0.524 states/eV/atom

Cell: 7.0041 7.0041 7.0041 Å, 60.00 60.00 60.00°
Atoms (fractional coordinates):
S (0.8773, 0.3681, 0.8773)
S (0.8819, 0.3727, 0.3727)
S (0.3727, 0.3727, 0.3727)
S (0.3727, 0.3727, 0.8819)
S (0.8773, 0.8773, 0.3681)
S (0.3681, 0.8773, 0.8773)
S (0.3727, 0.8819, 0.3727)
S (0.8773, 0.8773, 0.8773)
Ti (0.1250, 0.1250, 0.6250)
Ti (0.1250, 0.1250, 0.1250)
Ti (0.6250, 0.1250, 0.1250)
Ti (0.1250, 0.6250, 0.1250)
Li (0.6250, 0.1250, 0.6250)
Li (0.6250, 0.6250, 0.6250)
Li (0.1250, 0.6250, 0.6250)
Li (0.6250, 0.6250, 0.1250)